# AcAg3Pd PBE relaxed
data_AcAg3Pd
_chemical_formula_sum 'Ac2 Ag6 Pd2'
_symmetry_space_group_name_H-M 'P 1'
_symmetry_Int_Tables_number 1
_cell_length_a 5.609
_cell_length_b 5.771
_cell_length_c 7.379
_cell_angle_alpha 90.00
_cell_angle_beta 109.95
_cell_angle_gamma 90.00
loop_
_symmetry_equiv_pos_as_xyz
'x,y,z'
loop_
_atom_site_label
_atom_site_type_symbol
_atom_site_fract_x
_atom_site_fract_y
_atom_site_fract_z
_atom_site_occupancy
Pd1 Pd 0.884 0.448 0.814 1
Pd2 Pd 0.150 0.948 0.747 1
Ag1 Ag 0.312 0.687 0.099 1
Ag2 Ag 0.194 0.948 0.387 1
Ag3 Ag 0.312 0.208 0.099 1
Ag4 Ag 0.722 0.708 0.462 1
Ag5 Ag 0.722 0.187 0.462 1
Ag6 Ag 0.840 0.448 0.174 1
Ac1 Ac 0.292 0.448 0.626 1
Ac2 Ac 0.742 0.948 0.935 1
# * offset from the most stable computed form: 0 meV per atom
# * E_form: -7.36 kcal/mol of atoms
# * magnetization: 0.00 Bohr magnetons per cell
# * symmetry: P2_1/m

# Dy5ZrZn4 PBE relaxed
data_Dy5ZrZn4
_chemical_formula_sum 'Dy5 Zr1 Zn4'
_symmetry_space_group_name_H-M 'P 1'
_symmetry_Int_Tables_number 1
_cell_length_a 3.510
_cell_length_b 3.510
_cell_length_c 19.137
_cell_angle_alpha 90.00
_cell_angle_beta 90.00
_cell_angle_gamma 90.00
loop_
_symmetry_equiv_pos_as_xyz
'x,y,z'
loop_
_atom_site_label
_atom_site_type_symbol
_atom_site_fract_x
_atom_site_fract_y
_atom_site_fract_z
_atom_site_occupancy
Zn1 Zn 0.000 0.000 0.405 1
Zn2 Zn 0.000 0.000 0.215 1
Zn3 Zn 0.000 0.000 0.595 1
Zn4 Zn 0.000 0.000 0.785 1
Dy1 Dy 0.500 0.500 0.118 1
Dy2 Dy 0.500 0.500 0.689 1
Dy3 Dy 0.500 0.500 0.500 1
Dy4 Dy 0.500 0.500 0.311 1
Dy5 Dy 0.500 0.500 0.882 1
Zr1 Zr 0.000 0.000 0.000 1
# * E_form: -5.66 kcal/mol of atoms
# * magnetization: 0.00 Bohr magnetons per cell
# * symmetry: P4/mmm

# RbTaHg PBE relaxed
data_RbTaHg
_chemical_formula_sum 'Rb1 Ta1 Hg1'
_symmetry_space_group_name_H-M 'P 1'
_symmetry_Int_Tables_number 1
_cell_length_a 5.502
_cell_length_b 5.502
_cell_length_c 3.009
_cell_angle_alpha 90.00
_cell_angle_beta 90.00
_cell_angle_gamma 120.00
loop_
_symmetry_equiv_pos_as_xyz
'x,y,z'
loop_
_atom_site_label
_atom_site_type_symbol
_atom_site_fract_x
_atom_site_fract_y
_atom_site_fract_z
_atom_site_occupancy
Ta1 Ta 0.333 0.667 0.000 1
Rb1 Rb 0.667 0.333 0.500 1
Hg1 Hg 0.000 0.000 0.000 1
# * offset from the most stable computed form: 931 meV per atom
# * E_form: 29.53 kcal/mol of atoms
# * magnetization: 0.00 Bohr magnetons per cell
# * symmetry: P-6m2

# SrPuZnIn PBE relaxed
data_SrPuZnIn
_chemical_formula_sum 'Sr1 Pu1 Zn1 In1'
_symmetry_space_group_name_H-M 'P 1'
_symmetry_Int_Tables_number 1
_cell_length_a 5.450
_cell_length_b 5.450
_cell_length_c 5.450
_cell_angle_alpha 60.00
_cell_angle_beta 60.00
_cell_angle_gamma 60.00
loop_
_symmetry_equiv_pos_as_xyz
'x,y,z'
loop_
_atom_site_label
_atom_site_type_symbol
_atom_site_fract_x
_atom_site_fract_y
_atom_site_fract_z
_atom_site_occupancy
Sr1 Sr 0.250 0.250 0.250 1
Zn1 Zn 0.500 0.500 0.500 1
In1 In 0.000 0.000 0.000 1
Pu1 Pu 0.750 0.750 0.750 1
# * E_form: -2.07 kcal/mol of atoms
# * magnetization: 5.69 Bohr magnetons per cell
# * symmetry: F-43m

# DyEr2OsO8 PBE relaxed
data_DyEr2OsO8
_chemical_formula_sum 'Dy1 Er2 Os1 O8'
_symmetry_space_group_name_H-M 'P 1'
_symmetry_Int_Tables_number 1
_cell_length_a 5.009
_cell_length_b 5.007
_cell_length_c 6.732
_cell_angle_alpha 90.00
_cell_angle_beta 90.00
_cell_angle_gamma 90.34
loop_
_symmetry_equiv_pos_as_xyz
'x,y,z'
loop_
_atom_site_label
_atom_site_type_symbol
_atom_site_fract_x
_atom_site_fract_y
_atom_site_fract_z
_atom_site_occupancy
Dy1 Dy 0.000 0.000 0.500 1
Er1 Er 0.500 0.500 0.254 1
Er2 Er 0.500 0.500 0.746 1
O1 O 0.185 0.815 0.210 1
O2 O 0.309 0.309 0.500 1
O3 O 0.267 0.266 0.000 1
O4 O 0.815 0.185 0.790 1
O5 O 0.691 0.691 0.500 1
O6 O 0.733 0.734 0.000 1
O7 O 0.185 0.815 0.790 1
O8 O 0.815 0.185 0.210 1
Os1 Os 0.000 0.000 0.000 1
# * magnetization: 1.04 Bohr magnetons per cell
# * symmetry: Cmmm
# * formation energy (no corrections): -30.74 eV per formula unit

# LaPrTm4 PBE relaxed
data_LaPrTm4
_chemical_formula_sum 'La2 Pr2 Tm8'
_symmetry_space_group_name_H-M 'P 1'
_symmetry_Int_Tables_number 1
_cell_length_a 5.671
_cell_length_b 6.954
_cell_length_c 9.822
_cell_angle_alpha 89.99
_cell_angle_beta 90.01
_cell_angle_gamma 90.06
loop_
_symmetry_equiv_pos_as_xyz
'x,y,z'
loop_
_atom_site_label
_atom_site_type_symbol
_atom_site_fract_x
_atom_site_fract_y
_atom_site_fract_z
_atom_site_occupancy
Tm1 Tm 0.500 0.000 0.832 1
Tm2 Tm 0.500 0.500 0.168 1
Tm3 Tm 0.000 0.000 0.334 1
Tm4 Tm 0.000 0.500 0.334 1
Tm5 Tm 0.500 0.500 0.832 1
Tm6 Tm 0.500 0.000 0.168 1
Tm7 Tm 0.000 0.000 0.666 1
Tm8 Tm 0.000 0.500 0.666 1
La1 La 0.000 0.750 0.000 1
La2 La 0.000 0.250 0.000 1
Pr1 Pr 0.500 0.750 0.500 1
Pr2 Pr 0.500 0.250 0.500 1
# * offset from the most stable computed form: 0 meV per atom
# * E_form: 1.88 kcal/mol of atoms
# * magnetization: 0.00 Bohr magnetons per cell
# * symmetry: Pmmm

# NdGdSc2 PBE relaxed
data_NdGdSc2
_chemical_formula_sum 'Nd1 Gd1 Sc2'
_symmetry_space_group_name_H-M 'P 1'
_symmetry_Int_Tables_number 1
_cell_length_a 5.467
_cell_length_b 5.467
_cell_length_c 5.467
_cell_angle_alpha 60.00
_cell_angle_beta 60.00
_cell_angle_gamma 60.00
loop_
_symmetry_equiv_pos_as_xyz
'x,y,z'
loop_
_atom_site_label
_atom_site_type_symbol
_atom_site_fract_x
_atom_site_fract_y
_atom_site_fract_z
_atom_site_occupancy
Sc1 Sc 0.750 0.750 0.750 1
Sc2 Sc 0.250 0.250 0.250 1
Nd1 Nd 0.500 0.500 0.500 1
Gd1 Gd 0.000 0.000 0.000 1
# * offset from the most stable computed form: 21 meV per atom
# * E_form: 1.67 kcal/mol of atoms
# * magnetization: 7.21 Bohr magnetons per cell
# * symmetry: Fm-3m

# Zr3SiPb PBE relaxed
data_Zr3SiPb
_chemical_formula_sum 'Zr3 Si1 Pb1'
_symmetry_space_group_name_H-M 'P 1'
_symmetry_Int_Tables_number 1
_cell_length_a 4.969
_cell_length_b 4.969
_cell_length_c 4.969
_cell_angle_alpha 90.00
_cell_angle_beta 90.00
_cell_angle_gamma 90.00
loop_
_symmetry_equiv_pos_as_xyz
'x,y,z'
loop_
_atom_site_label
_atom_site_type_symbol
_atom_site_fract_x
_atom_site_fract_y
_atom_site_fract_z
_atom_site_occupancy
Zr1 Zr 0.500 0.000 0.000 1
Zr2 Zr 0.000 0.500 0.000 1
Zr3 Zr 0.000 0.000 0.500 1
Pb1 Pb 0.500 0.500 0.500 1
Si1 Si 0.000 0.000 0.000 1
# * offset from the most stable computed form: 0 meV per atom
# * magnetization: 0.00 Bohr magnetons per cell
# * symmetry: Pm-3m
# * formation energy (no corrections): -0.13 eV per formula unit

# Y5Er4Tl PBE relaxed
data_Y5Er4Tl
_chemical_formula_sum 'Y5 Er4 Tl1'
_symmetry_space_group_name_H-M 'P 1'
_symmetry_Int_Tables_number 1
_cell_length_a 3.597
_cell_length_b 10.203
_cell_length_c 10.523
_cell_angle_alpha 121.34
_cell_angle_beta 90.00
_cell_angle_gamma 100.15
loop_
_symmetry_equiv_pos_as_xyz
'x,y,z'
loop_
_atom_site_label
_atom_site_type_symbol
_atom_site_fract_x
_atom_site_fract_y
_atom_site_fract_z
_atom_site_occupancy
Y1 Y 0.825 0.650 0.457 1
Y2 Y 0.175 0.350 0.543 1
Y3 Y 0.500 0.000 0.500 1
Y4 Y 0.160 0.319 0.153 1
Y5 Y 0.840 0.681 0.847 1
Er1 Er 0.675 0.350 0.855 1
Er2 Er 0.985 0.970 0.222 1
Er3 Er 0.325 0.650 0.145 1
Er4 Er 0.015 0.030 0.778 1
Tl1 Tl 0.500 0.000 0.000 1
# * offset from the most stable computed form: 0 meV per atom
# * E_form: 1.29 kcal/mol of atoms
# * magnetization: 0.10 Bohr magnetons per cell
# * symmetry: C2/m

# SrYF3 PBE relaxed
data_SrYF3
_chemical_formula_sum 'Sr1 Y1 F3'
_symmetry_space_group_name_H-M 'P 1'
_symmetry_Int_Tables_number 1
_cell_length_a 4.672
_cell_length_b 4.672
_cell_length_c 4.672
_cell_angle_alpha 90.00
_cell_angle_beta 90.00
_cell_angle_gamma 90.00
loop_
_symmetry_equiv_pos_as_xyz
'x,y,z'
loop_
_atom_site_label
_atom_site_type_symbol
_atom_site_fract_x
_atom_site_fract_y
_atom_site_fract_z
_atom_site_occupancy
Sr1 Sr 0.500 0.500 0.500 1
F1 F 0.000 0.000 0.500 1
F2 F 0.500 0.000 0.000 1
F3 F 0.000 0.500 0.000 1
Y1 Y 0.000 0.000 0.000 1
# * offset from the most stable computed form: 0 meV per atom
# * magnetization: 0.43 Bohr magnetons per cell
# * symmetry: Pm-3m
# * formation energy (no corrections): -13.95 eV per formula unit

# Pa2NCl PBE relaxed
data_Pa2NCl
_chemical_formula_sum 'Pa2 N1 Cl1'
_symmetry_space_group_name_H-M 'P 1'
_symmetry_Int_Tables_number 1
_cell_length_a 3.332
_cell_length_b 3.332
_cell_length_c 7.862
_cell_angle_alpha 77.77
_cell_angle_beta 77.77
_cell_angle_gamma 60.00
loop_
_symmetry_equiv_pos_as_xyz
'x,y,z'
loop_
_atom_site_label
_atom_site_type_symbol
_atom_site_fract_x
_atom_site_fract_y
_atom_site_fract_z
_atom_site_occupancy
Pa1 Pa 0.732 0.732 0.805 1
Pa2 Pa 0.268 0.268 0.195 1
N1 N 0.000 0.000 0.000 1
Cl1 Cl 0.500 0.500 0.500 1
# * magnetization: 0.00 Bohr magnetons per cell
# * symmetry: R-3m
# * formation energy (no corrections): -5.05 eV per formula unit

# RbURhO6 PBE relaxed
data_RbURhO6
_chemical_formula_sum 'Rb2 U2 Rh2 O12'
_symmetry_space_group_name_H-M 'P 1'
_symmetry_Int_Tables_number 1
_cell_length_a 7.240
_cell_length_b 7.901
_cell_length_c 7.573
_cell_angle_alpha 121.44
_cell_angle_beta 118.56
_cell_angle_gamma 90.00
loop_
_symmetry_equiv_pos_as_xyz
'x,y,z'
loop_
_atom_site_label
_atom_site_type_symbol
_atom_site_fract_x
_atom_site_fract_y
_atom_site_fract_z
_atom_site_occupancy
O1 O 0.176 0.305 0.751 1
O2 O 0.575 0.305 0.751 1
O3 O 0.192 0.942 0.383 1
O4 O 0.578 0.328 0.156 1
O5 O 0.425 0.695 0.249 1
O6 O 0.824 0.695 0.249 1
O7 O 0.425 0.054 0.249 1
O8 O 0.808 0.058 0.617 1
O9 O 0.176 0.946 0.751 1
O10 O 0.824 0.054 0.249 1
O11 O 0.422 0.672 0.844 1
O12 O 0.575 0.946 0.751 1
U1 U 0.500 0.000 0.000 1
U2 U 0.500 0.500 0.000 1
Rb1 Rb 0.885 0.635 0.769 1
Rb2 Rb 0.115 0.365 0.231 1
Rh1 Rh 0.000 0.000 0.500 1
Rh2 Rh 0.500 0.000 0.500 1
# * magnetization: 1.62 Bohr magnetons per cell
# * symmetry: Imma
# * formation energy (no corrections): -17.13 eV per formula unit